First-principles (PBE-GGA) data for a geometry-optimized Pm3Nd6Ho2Er structure, as listed in Alexandria.

Summary:
Formation enthalpy at 0 K, eV per formula unit: 0.2
SG: C2/m (12)
Final energy, eV/cell: -56.41

Cell lengths 6.307, 6.307, 11.973 Å; angles 95.03, 95.03, 120.01 degrees
Atoms (fractional coordinates):
Pm (0.167, 0.833, 0.500)
Pm (0.833, 0.167, 0.500)
Pm (0.500, 0.500, 0.500)
Nd (0.917, 0.584, 0.754)
Nd (0.750, 0.750, 0.246)
Nd (0.083, 0.416, 0.246)
Nd (0.584, 0.917, 0.754)
Nd (0.250, 0.250, 0.754)
Nd (0.416, 0.083, 0.246)
Ho (0.333, 0.667, 0.000)
Ho (0.667, 0.333, 0.000)
Er (0.000, 0.000, 0.000)